Material: DyCdIr4
Method: DFT, PBE
State: optimized geometry

## Properties
Energy of formation in eV/f.u.: -2.22

Cell: 5.3147 5.3147 5.3147 Å, 60.00 60.00 60.00°
Fractional coordinates of all 6 atoms:
1 Dy 0.0000 0.0000 0.0000
2 Cd 0.7500 0.7500 0.7500
3 Ir 0.3752 0.3752 0.3752
4 Ir 0.3752 0.3752 0.8743
5 Ir 0.3752 0.8743 0.3752
6 Ir 0.8743 0.3752 0.3752